# 1
A relaxed structure of Ba2MgBiSe5, computed with PBE-GGA.

Lattice parameters (Å, degrees): 4.4622 9.8639 13.0340 90.00 90.00 103.07
Last column: nearest neighbours and their distance in Å.
Positions (direct):
1 Se 0.4984 0.9967 0.7841  1 Mg 2.54
2 Bi 0.7765 0.5530 0.5218  6 Se 2.83-3.04
3 Se 0.7305 0.4611 0.1727  2 Bi 2.98, 1 Ba 3.30
4 Se 0.9336 0.8673 0.5504  2 Mg 2.59
5 Ba 0.9023 0.8046 0.1764  6 Se 3.25-3.56
6 Se 0.2992 0.5984 0.3728  1 Mg 2.74, 2 Bi 2.99
7 Mg 0.5680 0.1361 0.9495  4 Se 2.54-2.74
8 Se 0.2695 0.5389 0.6727  2 Bi 2.98, 1 Ba 3.30
9 Bi 0.2235 0.4470 0.0218  6 Se 2.83-3.04
10 Se 0.6304 0.2608 0.4941  1 Bi 2.83
11 Se 0.5016 0.0033 0.2841  1 Mg 2.54
12 Ba 0.0977 0.1954 0.6764  6 Se 3.25-3.56
13 Se 0.7008 0.4016 0.8728  1 Mg 2.74, 2 Bi 2.99
14 Se 0.0664 0.1327 0.0504  2 Mg 2.59
15 Ba 0.8751 0.7501 0.8021  8 Se 3.26-3.47
16 Ba 0.1249 0.2499 0.3021  8 Se 3.26-3.47
17 Mg 0.4320 0.8639 0.4495  4 Se 2.54-2.74
18 Se 0.3696 0.7392 0.9941  1 Bi 2.83

Calculated values
Symmetry   No. 36
Total magnetic moment   0.00 μB per formula unit
Formation energy (no corrections)   -1.2344 eV per atom

---

# 2
A relaxed structure of BaMgSnBi2, computed with PBE-GGA.

Lattice parameters (Å, degrees): 6.7813 6.5502 8.4487 112.81 90.00 90.00
Last column: nearest neighbours and their distance in Å.
Positions (direct):
1 Bi 0.6977 0.8555 0.7110  1 Sn 3.04, 2 Mg 3.09, 1 Bi 3.29
2 Sn 0.0000 0.0000 0.0000  2 Bi 3.04, 2 Sn 3.28
3 Ba 0.2093 0.7500 0.5000  8 Bi 3.70-3.84
4 Mg 0.5000 0.2500 0.0000  4 Bi 3.09, 2 Mg 3.28
5 Ba 0.7907 0.2500 0.5000  8 Bi 3.70-3.84
6 Sn 0.0000 0.5000 0.0000  2 Bi 3.04, 2 Sn 3.28
7 Bi 0.3023 0.3555 0.7110  1 Sn 3.04, 2 Mg 3.09, 1 Bi 3.29
8 Bi 0.6977 0.6445 0.2890  1 Sn 3.04, 2 Mg 3.09, 1 Bi 3.29
9 Mg 0.5000 0.7500 0.0000  4 Bi 3.09, 2 Mg 3.28
10 Bi 0.3023 0.1445 0.2890  1 Sn 3.04, 2 Mg 3.09, 1 Bi 3.29

Calculated values
Calculated formation energy   -0.303 eV per atom
Symmetry   No. 67
Total magnetic moment   0.00 μB per formula unit

---

# 3
A relaxed structure of Ba2MgBiTe5, computed with PBE-GGA.

Lattice parameters (Å, degrees): 4.7462 10.7976 13.7073 90.00 90.00 102.70
Last column: nearest neighbours and their distance in Å.
Positions (direct):
1 Te 0.2876 0.5752 0.3757  1 Mg 3.00, 2 Bi 3.21
2 Te 0.0704 0.1409 0.0508  2 Mg 2.79
3 Te 0.7124 0.4248 0.8757  1 Mg 3.00, 2 Bi 3.21
4 Te 0.5003 0.0006 0.7810  1 Mg 2.76
5 Mg 0.4230 0.8460 0.4441  4 Te 2.76-3.00
6 Te 0.4997 0.9994 0.2810  1 Mg 2.76
7 Ba 0.1214 0.2427 0.2982  8 Te 3.50-3.78
8 Bi 0.7679 0.5358 0.5302  5 Te 3.00-3.25
9 Ba 0.0891 0.1782 0.6638  6 Te 3.42-3.70
10 Bi 0.2321 0.4642 0.0302  5 Te 3.00-3.25
11 Mg 0.5770 0.1540 0.9441  4 Te 2.76-3.00
12 Ba 0.8786 0.7573 0.7982  8 Te 3.50-3.78
13 Te 0.7422 0.4845 0.1912  2 Bi 3.25, 1 Ba 3.57, 2 Te 3.60
14 Te 0.9296 0.8591 0.5508  2 Mg 2.79
15 Te 0.6279 0.2558 0.4889  1 Bi 3.00
16 Ba 0.9109 0.8218 0.1638  6 Te 3.42-3.70
17 Te 0.3721 0.7442 0.9889  1 Bi 3.00
18 Te 0.2578 0.5155 0.6912  2 Bi 3.25, 1 Ba 3.57, 2 Te 3.60

Calculated values
Symmetry   No. 36
Total magnetic moment   0.00 μB per formula unit
Formation energy (no corrections)   -0.9872 eV per atom

---

# 4
A relaxed structure of Ba2ThMg2Bi4, computed with PBE-GGA.

Lattice parameters (Å, degrees): 4.7448 8.4817 8.8973 108.86 105.46 90.00
Last column: nearest neighbours and their distance in Å.
Positions (direct):
1 Mg 0.6760 0.9895 0.3519  4 Bi 2.94-3.07
2 Bi 0.5085 0.7413 0.0171  1 Mg 2.94, 2 Th 3.27
3 Ba 0.1309 0.5749 0.2617  7 Bi 3.68-3.77, 3 Mg 4.05-4.10
4 Mg 0.3240 0.0105 0.6481  4 Bi 2.94-3.07
5 Bi 0.2040 0.2091 0.4081  3 Mg 2.95-3.07
6 Ba 0.8691 0.4251 0.7383  7 Bi 3.68-3.77, 3 Mg 4.05-4.10
7 Bi 0.4915 0.2587 0.9829  1 Mg 2.94, 2 Th 3.27
8 Th 0.0000 0.0000 0.0000  6 Bi 3.27-3.35
9 Bi 0.7960 0.7909 0.5919  3 Mg 2.95-3.07

Calculated values
Calculated formation energy   -0.692 eV per atom
Symmetry   No. 12
Total magnetic moment   0.00 μB per formula unit

---

# 5
A relaxed structure of Ba2TmMg2Bi4, computed with PBE-GGA.

Lattice parameters (Å, degrees): 4.8607 7.9359 8.8550 108.28 105.93 90.00
Last column: nearest neighbours and their distance in Å.
Positions (direct):
1 Tm 0.0000 0.0000 0.0000  6 Bi 3.21-3.28
2 Mg 0.3307 0.0117 0.6615  4 Bi 2.92-3.07
3 Bi 0.2013 0.2049 0.4025  3 Mg 2.92-3.07
4 Mg 0.6693 0.9883 0.3385  4 Bi 2.92-3.07
5 Bi 0.4989 0.7353 0.9978  1 Mg 2.94, 2 Tm 3.21
6 Bi 0.7987 0.7951 0.5975  3 Mg 2.92-3.07
7 Ba 0.8649 0.4100 0.7298  7 Bi 3.59-3.79, 3 Mg 3.88
8 Ba 0.1351 0.5900 0.2702  7 Bi 3.59-3.79, 3 Mg 3.88
9 Bi 0.5011 0.2647 0.0022  1 Mg 2.94, 2 Tm 3.21

Calculated values
Calculated formation energy   -0.701 eV per atom
Symmetry   No. 12
Total magnetic moment   0.00 μB per formula unit

---

# 6
A relaxed structure of BaMgV2Bi, computed with PBE-GGA.

Lattice parameters (Å, degrees): 5.1990 5.9808 5.1990 90.00 90.00 90.00
Last column: nearest neighbours and their distance in Å.
Positions (direct):
1 Ba 0.0000 0.5000 0.0000  2 Mg 2.99
2 V 0.5000 0.0000 0.0000  2 Mg 2.60
3 Bi 0.5000 0.5000 0.5000  4 Ba 3.68, 8 V 3.96
4 Mg 0.0000 0.0000 0.0000  4 V 2.60
5 V 0.0000 0.0000 0.5000  2 Mg 2.60

Calculated values
Calculated formation energy   1.094 eV per atom
Symmetry   No. 123
Total magnetic moment   7.57 μB per formula unit

---

# 7
A relaxed structure of Ba2YMg2Bi4, computed with PBE-GGA.

Lattice parameters (Å, degrees): 4.8984 7.9045 8.8923 108.26 105.99 90.00
Last column: nearest neighbours and their distance in Å.
Positions (direct):
1 Ba 0.8644 0.4093 0.7287  7 Bi 3.59-3.79, 3 Mg 3.87-3.88
2 Bi 0.4989 0.7314 0.9978  1 Mg 2.95, 2 Y 3.24
3 Bi 0.5011 0.2686 0.0022  1 Mg 2.95, 2 Y 3.24
4 Mg 0.6686 0.9894 0.3371  4 Bi 2.93-3.07
5 Bi 0.7977 0.7955 0.5953  3 Mg 2.93-3.07
6 Y 0.0000 0.0000 0.0000  6 Bi 3.24-3.31
7 Bi 0.2023 0.2045 0.4047  3 Mg 2.93-3.07
8 Ba 0.1356 0.5907 0.2713  7 Bi 3.59-3.79, 3 Mg 3.87-3.88
9 Mg 0.3314 0.0106 0.6629  4 Bi 2.93-3.07

Calculated values
Calculated formation energy   -0.726 eV per atom
Symmetry   No. 12
Total magnetic moment   0.00 μB per formula unit

---

# 8
A relaxed structure of BaMnBi2, computed with PBE-GGA.

Lattice parameters (Å, degrees): 4.6890 4.6890 12.6299 100.70 100.70 90.00
Last column: nearest neighbours and their distance in Å.
Positions (direct):
1 Mn 0.2500 0.7500 0.5000  4 Bi 2.87
2 Bi 0.5000 0.0000 0.0000  4 Bi 3.32, 4 Ba 3.70
3 Bi 0.3182 0.3182 0.6364  4 Mn 2.87
4 Ba 0.8825 0.8825 0.7649  8 Bi 3.67-3.70, 4 Mn 3.99
5 Ba 0.1175 0.1175 0.2351  8 Bi 3.67-3.70, 4 Mn 3.99
6 Bi 0.6818 0.6818 0.3636  4 Mn 2.87
7 Mn 0.7500 0.2500 0.5000  4 Bi 2.87
8 Bi 0.0000 0.5000 0.0000  4 Bi 3.32, 4 Ba 3.70

Calculated values
Calculated formation energy   -0.294 eV per atom
Symmetry   No. 139
Total magnetic moment   4.42 μB per formula unit